Below is a relaxed MnAlTl2 crystal, with properties calculated at the PBE level.

Results
- Offset from the most stable computed form: 0.275 eV per atom
- ΔH_f (0 K): 0.506 eV per atom
- Size of the total moment: 1.99 μB/f.u.

```
data_MnAlTl2
_symmetry_space_group_name_H-M 'I -4 2 d'
_symmetry_Int_Tables_number 122
_symmetry_space_group_name_Hall 'I -4 2bw'
_cell_length_a 10.154
_cell_length_b 10.154
_cell_length_c 4.796
_cell_angle_alpha 90.00
_cell_angle_beta 90.00
_cell_angle_gamma 90.00
loop_
_atom_site_label
_atom_site_fract_x
_atom_site_fract_y
_atom_site_fract_z
Mn1 0.000 0.000 0.000
Al1 0.000 0.000 0.500
Tl1 0.001 0.750 0.125
```

=====

Below is a relaxed ZnIn2Ag crystal, with properties calculated at the PBE level.

Results
- ΔH_f (0 K): 0.069 eV per atom
- Size of the total moment: 0.00 μB/f.u.

```
data_ZnIn2Ag
_symmetry_space_group_name_H-M 'C 1 2/m 1'
_symmetry_Int_Tables_number 12
_cell_length_a 9.346
_cell_length_b 3.122
_cell_length_c 6.120
_cell_angle_alpha 90.00
_cell_angle_beta 104.52
_cell_angle_gamma 90.00
loop_
_symmetry_equiv_pos_as_xyz
'x,y,z'
'-x,-y,-z'
'-x,y,-z'
'x,-y,z'
'x+1/2,y+1/2,z'
'-x+1/2,-y+1/2,-z'
'-x+1/2,y+1/2,-z'
'x+1/2,-y+1/2,z'
loop_
_atom_site_label
_atom_site_fract_x
_atom_site_fract_y
_atom_site_fract_z
Zn1 0.000 0.000 0.000
In1 0.248 0.500 0.250
Ag1 0.000 0.500 0.500
```